Material: PrZrPaO6
Method: DFT, PBE
State: relaxed

Structure (POSCAR):
```
PrZrPaO6
1.0
5.763 0.000 0.000
-2.881 4.991 0.000
0.000 0.000 9.881
O Pr Zr Pa
12 2 2 2
direct
0.993 0.351 0.139
0.993 0.641 0.361
0.641 0.993 0.861
0.649 0.641 0.139
0.359 0.351 0.361
0.649 0.007 0.361
0.359 0.007 0.139
0.351 0.993 0.639
0.007 0.649 0.861
0.007 0.359 0.639
0.351 0.359 0.861
0.641 0.649 0.639
0.000 0.000 0.500
0.000 0.000 0.000
0.667 0.333 0.250
0.333 0.667 0.750
0.333 0.667 0.250
0.667 0.333 0.750
```

Values from the calculation:
Theoretical density = 6.5 g/cm3
ΔE_f (raw) = -3.421 eV per atom
Density of states at the Fermi level = 0.0 states/eV/cell